Computed, not measured: an optimized crystal structure of ZrSc2Re at the PBE-GGA level of DFT.

Results
Calculated volume in Å³/atom: 19.77
Energy above the most stable polymorph in this dataset in meV per atom: 44
N(E_F) in states/eV/f.u.: 3.60

Unit cell a=6.814 b=6.814 c=6.814 alpha=90.00 beta=90.00 gamma=90.00
Space group F-43m (No. 216)
One atom of each set of equivalent atoms:
Zr (0.000, 0.000, 0.000)
Sc (0.000, 0.000, 0.500)
Sc (0.250, 0.250, 0.250)
Re (0.250, 0.250, 0.750)


Computed, not measured: an optimized crystal structure of ZrSc2Re at the PBE-GGA level of DFT.

Results
Calculated volume in Å³/atom: 20.44
Energy above the most stable polymorph in this dataset in meV per atom: 0
N(E_F) in states/eV/f.u.: 4.54

Unit cell a=3.391 b=4.752 c=10.149 alpha=90.00 beta=90.00 gamma=90.00
Space group Immm (No. 71)
One atom of each set of equivalent atoms:
Zr (0.000, 0.000, 0.000)
Sc (0.000, 0.500, 0.213)
Re (0.000, 0.000, 0.500)


Computed, not measured: an optimized crystal structure of ReSe at the PBE-GGA level of DFT.

Results
Calculated volume in Å³/atom: 21.80
Energy above the most stable polymorph in this dataset in meV per atom: 720
Formation energy (no corrections) in eV/atom: 0.59
N(E_F) in states/eV/f.u.: 1.80

Unit cell a=4.0629 b=4.0629 c=18.2998 alpha=90.00 beta=90.00 gamma=120.00
Space group P-3m1 (No. 164)
One atom of each set of equivalent atoms:
Re (0.0000, 0.0000, 0.1878)
Re (0.3333, 0.6667, 0.1534)
Re (0.3333, 0.6667, 0.4832)
Se (0.0000, 0.0000, 0.4047)
Se (0.3333, 0.6667, 0.7330)
Se (0.3333, 0.6667, 0.9233)


Computed, not measured: an optimized crystal structure of ReSe at the PBE-GGA level of DFT.

Results
Calculated volume in Å³/atom: 18.12
Energy above the most stable polymorph in this dataset in meV per atom: 1360
Formation energy (no corrections) in eV/atom: 1.23
N(E_F) in states/eV/f.u.: 1.34

Unit cell a=5.253 b=5.253 c=5.253 alpha=90.00 beta=90.00 gamma=90.00
Space group Fm-3m (No. 225)
One atom of each set of equivalent atoms:
Re (0.000, 0.000, 0.000)
Se (0.000, 0.000, 0.500)


Computed, not measured: an optimized crystal structure of Re4Se at the PBE-GGA level of DFT.

Results
Calculated volume in Å³/atom: 15.43
Energy above the most stable polymorph in this dataset in meV per atom: 0
Formation energy (no corrections) in eV/atom: 0.53
N(E_F) in states/eV/f.u.: 4.14

Unit cell a=6.234 b=6.234 c=3.971 alpha=90.00 beta=90.00 gamma=90.00
Space group I4/m (No. 87)
One atom of each set of equivalent atoms:
Re (0.075, 0.300, 0.000)
Se (0.000, 0.000, 0.500)


Computed, not measured: an optimized crystal structure of ReSe at the PBE-GGA level of DFT.

Results
Calculated volume in Å³/atom: 16.19
Energy above the most stable polymorph in this dataset in meV per atom: 1031
Formation energy (no corrections) in eV/atom: 0.90
N(E_F) in states/eV/f.u.: 1.44

Unit cell a=4.123 b=4.123 c=7.618 alpha=90.00 beta=90.00 gamma=90.00
Space group I4_1/amd (No. 141, origin choice 2)
One atom of each set of equivalent atoms:
Re (0.000, 0.250, 0.375)
Se (0.000, 0.250, 0.875)


Computed, not measured: an optimized crystal structure of ReSe2 at the PBE-GGA level of DFT.

Results
Calculated volume in Å³/atom: 17.93
Formation energy (no corrections) in eV/atom: 1.89
N(E_F) in states/eV/f.u.: 3.84

Unit cell a=7.550 b=7.550 c=7.550 alpha=90.00 beta=90.00 gamma=90.00
Space group Fd-3m (No. 227, origin choice 2)
One atom of each set of equivalent atoms:
Re (0.125, 0.125, 0.125)
Se (0.000, 0.000, 0.500)


Computed, not measured: an optimized crystal structure of ReSe2 at the PBE-GGA level of DFT.

Results
Calculated volume in Å³/atom: 22.79
Formation energy (no corrections) in eV/atom: -0.40

Unit cell a=6.664 b=6.784 c=7.237 alpha=92.00 beta=104.14 gamma=118.81
Space group P-1 (No. 2)
One atom of each set of equivalent atoms:
Re (0.013, 0.209, 0.003)
Re (0.436, 0.184, 0.009)
Se (0.225, 0.842, 0.757)
Se (0.245, 0.115, 0.275)
Se (0.251, 0.635, 0.182)
Se (0.279, 0.392, 0.793)


Computed, not measured: an optimized crystal structure of ReSe at the PBE-GGA level of DFT.

Results
Calculated volume in Å³/atom: 26.47
Energy above the most stable polymorph in this dataset in meV per atom: 1195
Formation energy (no corrections) in eV/atom: 1.07
N(E_F) in states/eV/f.u.: 1.35

Unit cell a=6.823 b=6.823 c=6.823 alpha=90.00 beta=90.00 gamma=90.00
Space group Pm-3n (No. 223)
One atom of each set of equivalent atoms:
Re (0.000, 0.250, 0.500)
Se (0.000, 0.500, 0.250)


Computed, not measured: an optimized crystal structure of ReSe at the PBE-GGA level of DFT.

Results
Calculated volume in Å³/atom: 16.27
Energy above the most stable polymorph in this dataset in meV per atom: 797
Formation energy (no corrections) in eV/atom: 0.67
N(E_F) in states/eV/f.u.: 1.54

Unit cell a=3.330 b=4.335 c=4.509 alpha=90.00 beta=90.14 gamma=90.00
Space group P2_1/m (No. 11)
One atom of each set of equivalent atoms:
Re (0.023, 0.250, 0.249)
Se (0.358, 0.250, 0.750)


Computed, not measured: an optimized crystal structure of ReSe at the PBE-GGA level of DFT.

Results
Calculated volume in Å³/atom: 16.61
Energy above the most stable polymorph in this dataset in meV per atom: 1181
Formation energy (no corrections) in eV/atom: 1.05
N(E_F) in states/eV/f.u.: 2.22

Unit cell a=2.998 b=5.309 c=4.176 alpha=90.00 beta=90.00 gamma=90.00
Space group Cmmm (No. 65)
One atom of each set of equivalent atoms:
Re (0.000, 0.000, 0.000)
Se (0.000, 0.500, 0.500)


Computed, not measured: an optimized crystal structure of ReSe2 at the PBE-GGA level of DFT.

Results
Calculated volume in Å³/atom: 20.57
Formation energy (no corrections) in eV/atom: 1.12
N(E_F) in states/eV/f.u.: 2.26

Unit cell a=5.2236 b=5.2236 c=10.4434 alpha=90.00 beta=90.00 gamma=120.00
Space group P6_3/mmc (No. 194)
One atom of each set of equivalent atoms:
Re (0.3333, 0.6667, 0.0584)
Se (0.0000, 0.0000, 0.0000)
Se (0.1642, 0.3285, 0.2500)


Question: Among the records above, which one has the lowest calculated volume?
Answer: Re4Se